Computed, not measured: crystalline KLi2Mn2O6 at its relaxed geometry at the PBE+U level of DFT.

Its space-group type is No. 2. The energy comes out at -65.12 eV per cell. The density of states at the Fermi level comes out at 4.10 states/eV/f.u.

abc: 6.1530 6.1626 5.5493
angles: 125.79 97.20 65.59
Fractional positions:
1 Mn 0.9205 0.3055 0.7463
2 O 0.1205 0.4891 0.8278
3 O 0.9565 0.9634 0.6840
4 O 0.6316 0.4844 0.7017
5 Li 0.7430 0.3233 0.2681
6 O 0.0435 0.0366 0.3160
7 O 0.8795 0.5109 0.1722
8 K 0.5000 0.0000 0.5000
9 Mn 0.0795 0.6945 0.2537
10 O 0.3684 0.5156 0.2983
11 Li 0.2570 0.6767 0.7319